Entry 1:
The following is a GGA-PBE calculation of a geometry-optimized RbSb2Au3 structure, from Alexandria via LeMat-Bulk.

Unit cell a=17.3885 b=4.9110 c=8.3634 alpha=90.00 beta=111.43 gamma=90.00
Last column: nearest neighbours and their distance in Å.
Space group C2/m (No. 12)
Unique sites:
1 Rb 0.1669 0.0000 0.0911 x4  6 Au 3.58-3.95, 5 Sb 3.72-3.99
2 Sb 0.0323 0.5000 0.1978 x4  4 Au 2.76-2.83, 1 Sb 3.08
3 Sb 0.1588 0.0000 0.6112 x4  7 Au 2.77-3.08
4 Au 0.0018 0.0000 0.3139 x4  4 Sb 2.76-3.08, 2 Au 3.01
5 Au 0.0975 0.5000 0.6828 x4  3 Sb 2.78-2.83, 3 Au 3.01-3.02
6 Au 0.1944 0.5000 0.4479 x4  4 Sb 2.77-2.98, 3 Au 3.02-3.05

Calculated values
The calculation puts the density of states at the Fermi level at 0.419 states/eV/atom. As for the total energy: -3.382 eV/atom. As for the magnetic moment: 0.000 μB per cell. The calculation puts the energy relative to the elements, uncorrected at -20 kJ per mole of atoms.

---

Entry 2:
The following is a GGA-PBE calculation of a geometry-optimized RbSb5Au4 structure, from Alexandria via LeMat-Bulk.

Unit cell a=8.5047 b=12.1855 c=6.2353 alpha=90.00 beta=90.00 gamma=90.00
Last column: nearest neighbours and their distance in Å.
Space group Pmmn (No. 59, origin choice 2)
Unique sites:
1 Rb 0.2500 0.2500 0.2034 x2  6 Au 3.43-3.77
2 Sb 0.0235 0.0328 0.7317 x8  3 Au 2.69-2.80
3 Sb 0.2500 0.7500 0.2393 x2  4 Au 2.81-2.85
4 Au 0.0776 0.2500 0.7008 x4  3 Sb 2.69-2.81, 1 Au 2.93
5 Au 0.2500 0.5446 0.0196 x4  5 Sb 2.80-2.85

Calculated values
The calculation puts the density of states at the Fermi level at 0.236 states/eV/atom. As for the total energy: -3.569 eV/atom. As for the magnetic moment: 0.000 μB per cell. The calculation puts the energy relative to the elements, uncorrected at -10 kJ per mole of atoms.

---

Entry 3:
The following is a GGA-PBE calculation of a geometry-optimized RbSb2Au3 structure, from Alexandria via LeMat-Bulk.

Unit cell a=21.8966 b=4.7335 c=7.2111 alpha=90.00 beta=107.80 gamma=90.00
Last column: nearest neighbours and their distance in Å.
Space group C2/m (No. 12)
Unique sites:
1 Rb 0.0997 0.0000 0.4567 x4  3 Au 3.45-3.76, 2 Sb 3.75
2 Sb 0.0257 0.5000 0.8366 x4  3 Au 2.74-2.88, 1 Sb 2.91
3 Sb 0.2315 0.0000 0.1779 x4  7 Au 2.74-3.06
4 Au 0.0906 0.0000 0.9281 x4  3 Sb 2.74-3.06, 2 Au 2.83
5 Au 0.1636 0.5000 0.9545 x4  4 Sb 2.74-2.99, 3 Au 2.83-3.06
6 Au 0.2349 0.5000 0.3912 x4  3 Au 2.80-3.06, 3 Sb 2.81-2.97

Calculated values
The calculation puts the density of states at the Fermi level at 0.408 states/eV/atom. As for the total energy: -3.422 eV/atom. As for the magnetic moment: 0.000 μB per cell. The calculation puts the energy relative to the elements, uncorrected at -24 kJ per mole of atoms.

---

Entry 4:
The following is a GGA-PBE calculation of a geometry-optimized Rb12Sb3Au5 structure, from Alexandria via LeMat-Bulk.

Unit cell a=20.8107 b=20.8107 c=20.8107 alpha=90.00 beta=90.00 gamma=90.00
Last column: nearest neighbours and their distance in Å.
Space group Ia-3d (No. 230)
Unique sites:
1 Rb 0.0178 0.0692 0.6542 x96  2 Au 3.32-3.54
2 Sb 0.0000 0.2500 0.1250 x24  8 Rb 3.83-3.86
3 Au 0.0000 0.0000 0.0000 x16  6 Rb 3.54
4 Au 0.0000 0.2500 0.3750 x24  4 Rb 3.32

Calculated values
The calculation puts the density of states at the Fermi level at 0.873 states/eV/atom. As for the total energy: -2.241 eV/atom. As for the magnetic moment: 17.432 μB per cell. The calculation puts the energy relative to the elements, uncorrected at -21 kJ per mole of atoms.

---

Entry 5:
The following is a GGA-PBE calculation of a geometry-optimized Rb2Sb2Au structure, from Alexandria via LeMat-Bulk.

Unit cell a=12.3961 b=5.1895 c=11.9869 alpha=90.00 beta=116.97 gamma=90.00
Last column: nearest neighbours and their distance in Å.
Space group C2/m (No. 12)
Unique sites:
1 Rb 0.0880 0.0000 0.3809 x4  6 Sb 3.61-3.71, 2 Au 3.90, 2 Rb 3.94
2 Rb 0.1784 0.5000 0.1903 x4  5 Sb 3.58-3.89, 4 Au 3.62-3.77, 2 Rb 3.94
3 Sb 0.1020 0.0000 0.9609 x4  3 Au 2.97-3.02, 1 Sb 3.07
4 Sb 0.1115 0.5000 0.6119 x4  1 Au 2.83, 1 Sb 2.85
5 Au 0.1314 0.5000 0.8570 x4  4 Sb 2.83-3.02

Calculated values
The calculation puts the density of states at the Fermi level at 0.695 states/eV/atom. As for the total energy: -3.010 eV/atom. As for the magnetic moment: 0.000 μB per cell. The calculation puts the energy relative to the elements, uncorrected at -31 kJ per mole of atoms.

---

Entry 6:
The following is a GGA-PBE calculation of a geometry-optimized Rb2Sb3Au6 structure, from Alexandria via LeMat-Bulk.

Unit cell a=8.3118 b=8.3118 c=5.1175 alpha=90.00 beta=90.00 gamma=120.00
Last column: nearest neighbours and their distance in Å.
Space group P-62m (No. 189)
Unique sites:
1 Rb 0.3333 0.6667 0.0000 x2  9 Au 3.44-3.73, 6 Sb 3.81
2 Sb 0.0000 0.3206 0.5000 x3  5 Au 2.74-2.78
3 Au 0.0000 0.2040 0.0000 x3  2 Sb 2.74, 2 Au 2.94
4 Au 0.0000 0.6526 0.5000 x3  3 Sb 2.76-2.78

Calculated values
The calculation puts the density of states at the Fermi level at 0.365 states/eV/atom. As for the total energy: -3.301 eV/atom. As for the magnetic moment: 0.000 μB per cell. The calculation puts the energy relative to the elements, uncorrected at -21 kJ per mole of atoms.